Record 1
# CoSi2Pt | the Alexandria database | GGA-PBE | relaxed
data_CoSi2Pt
_cell_length_a 4.3348
_cell_length_b 4.3348
_cell_length_c 4.3348
_cell_angle_alpha 126.10
_cell_angle_beta 126.01
_cell_angle_gamma 79.80
_space_group_name_H-M_alt 'P 1'
_space_group_IT_number 1
loop_
_space_group_symop_operation_xyz
'x,y,z'
loop_
_atom_site_label
_atom_site_fract_x
_atom_site_fract_y
_atom_site_fract_z
Co1 0.7500 0.2500 0.5000
Pt1 0.2500 0.7500 0.5000
Si1 0.9999 0.9999 0.0000
Si2 0.5001 0.5001 0.0000
# Formation energy without anion corrections   -0.228 eV per atom
# Energy above the most stable polymorph in this dataset   263.8 meV per atom

***

Record 2
# CoSi2Pt | the Alexandria database | GGA-PBE | relaxed
data_CoSi2Pt
_cell_length_a 2.7249
_cell_length_b 2.7249
_cell_length_c 7.1891
_cell_angle_alpha 90.00
_cell_angle_beta 90.00
_cell_angle_gamma 90.00
_space_group_name_H-M_alt 'P 1'
_space_group_IT_number 1
loop_
_space_group_symop_operation_xyz
'x,y,z'
loop_
_atom_site_label
_atom_site_fract_x
_atom_site_fract_y
_atom_site_fract_z
Co1 0.0000 0.0000 0.4723
Pt1 0.5000 0.5000 0.7494
Si1 0.0000 0.0000 0.9906
Si2 0.5000 0.5000 0.2877
# Formation energy without anion corrections   -0.090 eV per atom
# Energy above the most stable polymorph in this dataset   401.7 meV per atom

***

Record 3
# Co2SiPt | the Alexandria database | GGA-PBE | relaxed
data_Co2SiPt
_cell_length_a 2.7045
_cell_length_b 3.4351
_cell_length_c 5.2919
_cell_angle_alpha 90.00
_cell_angle_beta 90.00
_cell_angle_gamma 90.00
_space_group_name_H-M_alt 'P 1'
_space_group_IT_number 1
loop_
_space_group_symop_operation_xyz
'x,y,z'
loop_
_atom_site_label
_atom_site_fract_x
_atom_site_fract_y
_atom_site_fract_z
Co1 0.0000 0.0000 0.0055
Co2 0.5000 0.5000 0.2119
Pt1 0.0000 0.0000 0.5089
Si1 0.5000 0.5000 0.7738
# Formation energy without anion corrections   -0.243 eV per atom

***

Record 4
# CoSi2Pt | the Alexandria database | GGA-PBE | relaxed
data_CoSi2Pt
_cell_length_a 2.7788
_cell_length_b 2.7788
_cell_length_c 6.5633
_cell_angle_alpha 90.00
_cell_angle_beta 90.00
_cell_angle_gamma 90.04
_space_group_name_H-M_alt 'P 1'
_space_group_IT_number 1
loop_
_space_group_symop_operation_xyz
'x,y,z'
loop_
_atom_site_label
_atom_site_fract_x
_atom_site_fract_y
_atom_site_fract_z
Co1 0.5000 0.5000 0.2500
Pt1 0.5000 0.5000 0.7500
Si1 0.0000 0.0000 0.0324
Si2 0.0000 0.0000 0.4676
# Formation energy without anion corrections   -0.263 eV per atom
# Energy above the most stable polymorph in this dataset   228.7 meV per atom

***

Record 5
# CoSiPt | the Alexandria database | GGA-PBE | relaxed
data_CoSiPt
_cell_length_a 3.8985
_cell_length_b 3.8985
_cell_length_c 3.8985
_cell_angle_alpha 60.00
_cell_angle_beta 60.00
_cell_angle_gamma 60.00
_space_group_name_H-M_alt 'P 1'
_space_group_IT_number 1
loop_
_space_group_symop_operation_xyz
'x,y,z'
loop_
_atom_site_label
_atom_site_fract_x
_atom_site_fract_y
_atom_site_fract_z
Si1 0.7500 0.7500 0.7500
Co1 0.0000 0.0000 0.0000
Pt1 0.5000 0.5000 0.5000
# Formation energy without anion corrections   -0.541 eV per atom

***

Record 6
# Co2SiPt | the Alexandria database | GGA-PBE | relaxed
data_Co2SiPt
_cell_length_a 3.6182
_cell_length_b 2.6993
_cell_length_c 5.3271
_cell_angle_alpha 75.22
_cell_angle_beta 90.00
_cell_angle_gamma 90.00
_space_group_name_H-M_alt 'P 1'
_space_group_IT_number 1
loop_
_space_group_symop_operation_xyz
'x,y,z'
loop_
_atom_site_label
_atom_site_fract_x
_atom_site_fract_y
_atom_site_fract_z
Co1 0.0000 0.9483 0.9795
Co2 0.5000 0.3223 0.2290
Pt1 0.0000 0.6895 0.4926
Si1 0.5000 0.5399 0.7988
# Formation energy without anion corrections   -0.276 eV per atom

***

Record 7
# CoSi2Pt | the Alexandria database | GGA-PBE | relaxed
data_CoSi2Pt
_cell_length_a 7.7131
_cell_length_b 7.7131
_cell_length_c 7.7131
_cell_angle_alpha 21.56
_cell_angle_beta 21.56
_cell_angle_gamma 21.56
_space_group_name_H-M_alt 'P 1'
_space_group_IT_number 1
loop_
_space_group_symop_operation_xyz
'x,y,z'
loop_
_atom_site_label
_atom_site_fract_x
_atom_site_fract_y
_atom_site_fract_z
Co1 0.5095 0.5095 0.5095
Pt1 0.7464 0.7464 0.7464
Si1 0.9991 0.9991 0.9991
Si2 0.2450 0.2450 0.2450
# Formation energy without anion corrections   -0.079 eV per atom
# Energy above the most stable polymorph in this dataset   412.2 meV per atom

***

Record 8
# Co3SiPt | the Alexandria database | GGA-PBE | relaxed
data_Co3SiPt
_cell_length_a 4.5892
_cell_length_b 4.5892
_cell_length_c 4.5892
_cell_angle_alpha 90.00
_cell_angle_beta 90.00
_cell_angle_gamma 90.00
_space_group_name_H-M_alt 'P 1'
_space_group_IT_number 1
loop_
_space_group_symop_operation_xyz
'x,y,z'
loop_
_atom_site_label
_atom_site_fract_x
_atom_site_fract_y
_atom_site_fract_z
Si1 0.5000 0.5000 0.5000
Co1 0.0000 0.5000 0.0000
Co2 0.0000 0.0000 0.5000
Co3 0.5000 0.0000 0.0000
Pt1 0.0000 0.0000 0.0000
# Formation energy without anion corrections   1.382 eV per atom
# Energy above the most stable polymorph in this dataset   771.8 meV per atom

***

Record 9
# Co2Si2Pt | the Alexandria database | GGA-PBE | relaxed
data_Co2Si2Pt
_cell_length_a 6.6739
_cell_length_b 6.6739
_cell_length_c 2.6887
_cell_angle_alpha 90.00
_cell_angle_beta 90.00
_cell_angle_gamma 90.00
_space_group_name_H-M_alt 'P 1'
_space_group_IT_number 1
loop_
_space_group_symop_operation_xyz
'x,y,z'
loop_
_atom_site_label
_atom_site_fract_x
_atom_site_fract_y
_atom_site_fract_z
Si1 0.3498 0.8498 0.0000
Si2 0.8498 0.6502 0.0000
Si3 0.6502 0.1502 0.0000
Si4 0.1502 0.3498 0.0000
Co1 0.1414 0.6414 0.5000
Co2 0.6414 0.8586 0.5000
Co3 0.8586 0.3586 0.5000
Co4 0.3586 0.1414 0.5000
Pt1 0.0000 0.0000 0.0000
Pt2 0.5000 0.5000 0.0000
# Formation energy without anion corrections   -0.512 eV per atom

***

Record 10
# CoSi2Pt | the Alexandria database | GGA-PBE | relaxed
data_CoSi2Pt
_cell_length_a 3.8589
_cell_length_b 3.4904
_cell_length_c 3.9715
_cell_angle_alpha 90.00
_cell_angle_beta 90.00
_cell_angle_gamma 90.00
_space_group_name_H-M_alt 'P 1'
_space_group_IT_number 1
loop_
_space_group_symop_operation_xyz
'x,y,z'
loop_
_atom_site_label
_atom_site_fract_x
_atom_site_fract_y
_atom_site_fract_z
Co1 0.0000 0.3751 0.4740
Pt1 0.5000 0.8750 0.7376
Si1 0.0000 0.8750 0.1103
Si2 0.5000 0.3749 0.1781
# Formation energy without anion corrections   -0.447 eV per atom
# Energy above the most stable polymorph in this dataset   44.9 meV per atom

***

Record 11
# CoSi2Pt | the Alexandria database | GGA-PBE | relaxed
data_CoSi2Pt
_cell_length_a 4.0675
_cell_length_b 4.0675
_cell_length_c 4.8078
_cell_angle_alpha 79.63
_cell_angle_beta 79.63
_cell_angle_gamma 41.47
_space_group_name_H-M_alt 'P 1'
_space_group_IT_number 1
loop_
_space_group_symop_operation_xyz
'x,y,z'
loop_
_atom_site_label
_atom_site_fract_x
_atom_site_fract_y
_atom_site_fract_z
Co1 0.7500 0.7500 0.7500
Pt1 0.2500 0.2500 0.2500
Si1 0.0063 0.0063 0.9684
Si2 0.4937 0.4937 0.5316
# Formation energy without anion corrections   -0.376 eV per atom
# Energy above the most stable polymorph in this dataset   115.5 meV per atom

***

Record 12
# Co3SiPt | the Alexandria database | GGA-PBE | relaxed
data_Co3SiPt
_cell_length_a 4.1403
_cell_length_b 4.1403
_cell_length_c 4.1403
_cell_angle_alpha 90.00
_cell_angle_beta 90.00
_cell_angle_gamma 90.00
_space_group_name_H-M_alt 'P 1'
_space_group_IT_number 1
loop_
_space_group_symop_operation_xyz
'x,y,z'
loop_
_atom_site_label
_atom_site_fract_x
_atom_site_fract_y
_atom_site_fract_z
Si1 0.0000 0.0000 0.0000
Co1 0.0000 0.5000 0.0000
Co2 0.0000 0.0000 0.5000
Co3 0.5000 0.0000 0.0000
Pt1 0.5000 0.5000 0.5000
# Formation energy without anion corrections   0.610 eV per atom
# Energy above the most stable polymorph in this dataset   0.0 meV per atom

***

Record 13
# Co6SiPt | the Alexandria database | GGA-PBE | relaxed
data_Co6SiPt
_cell_length_a 6.2109
_cell_length_b 6.2109
_cell_length_c 10.1356
_cell_angle_alpha 90.00
_cell_angle_beta 90.00
_cell_angle_gamma 109.87
_space_group_name_H-M_alt 'P 1'
_space_group_IT_number 1
loop_
_space_group_symop_operation_xyz
'x,y,z'
loop_
_atom_site_label
_atom_site_fract_x
_atom_site_fract_y
_atom_site_fract_z
Co1 0.2536 0.7464 0.5061
Co2 0.8714 0.6181 0.6288
Co3 0.1286 0.3819 0.6288
Co4 0.7464 0.2536 0.5061
Co5 0.3819 0.1286 0.6288
Co6 0.6181 0.8714 0.6288
Co7 0.5000 0.5000 0.2500
Co8 0.1367 0.3805 0.3798
Co9 0.3805 0.1367 0.3798
Co10 0.2536 0.7464 0.9939
Co11 0.8633 0.6195 0.1202
Co12 0.1367 0.3805 0.1202
Co13 0.7464 0.2536 0.9939
Co14 0.3805 0.1367 0.1202
Co15 0.6195 0.8633 0.1202
Co16 0.5000 0.5000 0.7500
Co17 0.1286 0.3819 0.8712
Co18 0.3819 0.1286 0.8712
Co19 0.0000 0.0000 0.2500
Co20 0.6195 0.8633 0.3798
Co21 0.8633 0.6195 0.3798
Co22 0.0000 0.0000 0.7500
Co23 0.6181 0.8714 0.8712
Co24 0.8714 0.6181 0.8712
Pt1 0.2461 0.7539 0.2500
Pt2 0.7539 0.2461 0.2500
Pt3 0.0000 0.0000 0.5028
Pt4 0.0000 0.0000 0.9972
Si1 0.2435 0.7565 0.7500
Si2 0.7565 0.2435 0.7500
Si3 0.5000 0.5000 0.5087
Si4 0.5000 0.5000 0.9913
# Formation energy without anion corrections   -0.130 eV per atom